# AlCrTc2 | the Alexandria database | SCAN | PBEsol geometry
data_AlCrTc2
_cell_length_a 3.045
_cell_length_b 4.062
_cell_length_c 4.325
_cell_angle_alpha 90.00
_cell_angle_beta 90.00
_cell_angle_gamma 90.00
_symmetry_space_group_name_H-M 'P 1'
_symmetry_Int_Tables_number 1
loop_
_symmetry_equiv_pos_as_xyz
'x,y,z'
loop_
_atom_site_label
_atom_site_type_symbol
_atom_site_fract_x
_atom_site_fract_y
_atom_site_fract_z
Al1 Al 0.000 0.000 0.000
Cr1 Cr 0.500 0.000 0.500
Tc1 Tc 0.000 0.500 0.500
Tc2 Tc 0.500 0.500 0.000
# ΔE_f (eV/atom): -0.20
# Space group: No. 47
# Magnetic moment (μB per atom): 0.39


# Al2CrTc | the Alexandria database | SCAN | PBEsol geometry
data_Al2CrTc
_cell_length_a 4.264
_cell_length_b 4.264
_cell_length_c 4.264
_cell_angle_alpha 60.00
_cell_angle_beta 60.00
_cell_angle_gamma 60.00
_symmetry_space_group_name_H-M 'P 1'
_symmetry_Int_Tables_number 1
loop_
_symmetry_equiv_pos_as_xyz
'x,y,z'
loop_
_atom_site_label
_atom_site_type_symbol
_atom_site_fract_x
_atom_site_fract_y
_atom_site_fract_z
Al1 Al 0.250 0.250 0.250
Al2 Al 0.750 0.750 0.750
Cr1 Cr 0.000 0.000 0.000
Tc1 Tc 0.500 0.500 0.500
# ΔE_f (eV/atom): -0.42
# Space group: No. 225
# Distance to the lowest polymorph of the same formula (kJ per mole of atoms): 0.0
# Magnetic moment (μB per atom): 0.96


# AlCr2Tc | the Alexandria database | SCAN | PBEsol geometry
data_AlCr2Tc
_cell_length_a 4.843
_cell_length_b 4.843
_cell_length_c 4.843
_cell_angle_alpha 144.27
_cell_angle_beta 130.14
_cell_angle_gamma 62.84
_symmetry_space_group_name_H-M 'P 1'
_symmetry_Int_Tables_number 1
loop_
_symmetry_equiv_pos_as_xyz
'x,y,z'
loop_
_atom_site_label
_atom_site_type_symbol
_atom_site_fract_x
_atom_site_fract_y
_atom_site_fract_z
Al1 Al 0.000 0.000 0.000
Cr1 Cr 0.260 0.760 0.500
Cr2 Cr 0.740 0.240 0.500
Tc1 Tc 0.500 0.500 0.000
# ΔE_f (eV/atom): -0.17
# Space group: No. 71
# Magnetic moment (μB per atom): 0.00


# AlCr2Tc | the Alexandria database | SCAN | PBEsol geometry
data_AlCr2Tc
_cell_length_a 4.809
_cell_length_b 4.809
_cell_length_c 4.809
_cell_angle_alpha 144.43
_cell_angle_beta 128.61
_cell_angle_gamma 64.06
_symmetry_space_group_name_H-M 'P 1'
_symmetry_Int_Tables_number 1
loop_
_symmetry_equiv_pos_as_xyz
'x,y,z'
loop_
_atom_site_label
_atom_site_type_symbol
_atom_site_fract_x
_atom_site_fract_y
_atom_site_fract_z
Al1 Al 0.000 0.000 0.000
Cr1 Cr 0.262 0.762 0.500
Cr2 Cr 0.488 0.488 0.000
Tc1 Tc 0.734 0.234 0.500
# ΔE_f (eV/atom): -0.23
# Space group: No. 44
# Magnetic moment (μB per atom): 0.11


# AlCr2Te | the Alexandria database | SCAN | PBEsol geometry
data_AlCr2Te
_cell_length_a 9.201
_cell_length_b 9.201
_cell_length_c 9.201
_cell_angle_alpha 155.59
_cell_angle_beta 155.59
_cell_angle_gamma 34.79
_symmetry_space_group_name_H-M 'P 1'
_symmetry_Int_Tables_number 1
loop_
_symmetry_equiv_pos_as_xyz
'x,y,z'
loop_
_atom_site_label
_atom_site_type_symbol
_atom_site_fract_x
_atom_site_fract_y
_atom_site_fract_z
Al1 Al 0.000 0.000 0.000
Al2 Al 0.750 0.250 0.500
Cr1 Cr 0.042 0.625 0.917
Cr2 Cr 0.375 0.292 0.417
Cr3 Cr 0.708 0.125 0.083
Cr4 Cr 0.875 0.958 0.583
Te1 Te 0.250 0.750 0.500
Te2 Te 0.500 0.500 0.000
# Raw formation energy (eV/atom): 0.70
# Space group: No. 122
# Distance to the lowest polymorph of the same formula (kJ per mole of atoms): 53.5
# Magnetic moment (μB per atom): 0.00


# AlCr2Te | the Alexandria database | SCAN | PBEsol geometry
data_AlCr2Te
_cell_length_a 3.258
_cell_length_b 3.258
_cell_length_c 5.652
_cell_angle_alpha 90.00
_cell_angle_beta 90.00
_cell_angle_gamma 90.00
_symmetry_space_group_name_H-M 'P 1'
_symmetry_Int_Tables_number 1
loop_
_symmetry_equiv_pos_as_xyz
'x,y,z'
loop_
_atom_site_label
_atom_site_type_symbol
_atom_site_fract_x
_atom_site_fract_y
_atom_site_fract_z
Al1 Al 0.000 0.000 0.000
Cr1 Cr 0.500 0.500 0.201
Cr2 Cr 0.500 0.500 0.799
Te1 Te 0.000 0.000 0.500
# Raw formation energy (eV/atom): 0.40
# Space group: No. 123
# Distance to the lowest polymorph of the same formula (kJ per mole of atoms): 25.3
# Magnetic moment (μB per atom): 0.00


# Al4CrTe | the Alexandria database | SCAN | PBEsol geometry
data_Al4CrTe
_cell_length_a 5.306
_cell_length_b 5.306
_cell_length_c 5.306
_cell_angle_alpha 60.00
_cell_angle_beta 60.00
_cell_angle_gamma 60.00
_symmetry_space_group_name_H-M 'P 1'
_symmetry_Int_Tables_number 1
loop_
_symmetry_equiv_pos_as_xyz
'x,y,z'
loop_
_atom_site_label
_atom_site_type_symbol
_atom_site_fract_x
_atom_site_fract_y
_atom_site_fract_z
Al1 Al 0.124 0.124 0.124
Al2 Al 0.124 0.124 0.628
Al3 Al 0.124 0.628 0.124
Al4 Al 0.628 0.124 0.124
Cr1 Cr 0.750 0.750 0.750
Te1 Te 0.500 0.500 0.500
# Raw formation energy (eV/atom): 0.22
# Space group: No. 216
# Magnetic moment (μB per atom): 0.53


# AlCr2Te | the Alexandria database | SCAN | PBEsol geometry
data_AlCr2Te
_cell_length_a 5.169
_cell_length_b 5.169
_cell_length_c 5.169
_cell_angle_alpha 136.95
_cell_angle_beta 136.95
_cell_angle_gamma 62.52
_symmetry_space_group_name_H-M 'P 1'
_symmetry_Int_Tables_number 1
loop_
_symmetry_equiv_pos_as_xyz
'x,y,z'
loop_
_atom_site_label
_atom_site_type_symbol
_atom_site_fract_x
_atom_site_fract_y
_atom_site_fract_z
Al1 Al 0.000 0.000 0.000
Cr1 Cr 0.500 0.500 0.000
Cr2 Cr 0.750 0.250 0.500
Te1 Te 0.250 0.750 0.500
# Raw formation energy (eV/atom): 0.14
# Space group: No. 119
# Distance to the lowest polymorph of the same formula (kJ per mole of atoms): 0.0
# Magnetic moment (μB per atom): 1.63